No. 1
A geometry-optimized Pm2MnSnPt6 structure. Source: Alexandria via LeMat-Bulk, functional GGA-PBE.

Geometry as CIF:
```
data_Pm2MnSnPt6
_chemical_formula_sum 'Pm2 Mn1 Sn1 Pt6'
_cell_length_a 5.5283
_cell_length_b 6.5960
_cell_length_c 6.6402
_cell_angle_alpha 71.78
_cell_angle_beta 65.53
_cell_angle_gamma 65.23
_space_group_name_H-M_alt 'P -1'
_space_group_IT_number 2
loop_
_space_group_symop_operation_xyz
'x,y,z'
'-x,-y,-z'
loop_
_atom_site_label
_atom_site_type_symbol
_atom_site_fract_x
_atom_site_fract_y
_atom_site_fract_z
_atom_site_occupancy
Pm1 Pm 0.0009 0.2556 0.2435 1
Mn1 Mn 0.5000 0.5000 0.0000 1
Sn1 Sn 0.5000 0.0000 0.5000 1
Pt1 Pt 0.0125 0.6834 0.3006 1
Pt2 Pt 0.3195 0.9245 0.9367 1
Pt3 Pt 0.4964 0.3178 0.6985 1
```

## Properties
magnetization	3.864	μB/f.u.
calculated total energy	-6.572	eV/atom
V	197	Å³ per cell
calculated formation energy	-0.680	eV per atom
N(E_F)	0.583	states/eV per atom

No. 2
A geometry-optimized PmPuMn structure. Source: Alexandria via LeMat-Bulk, functional GGA-PBE.

Geometry as CIF:
```
data_PmPuMn
_chemical_formula_sum 'Pm4 Pu4 Mn4'
_cell_length_a 6.9242
_cell_length_b 3.9533
_cell_length_c 11.2400
_cell_angle_alpha 90.00
_cell_angle_beta 119.87
_cell_angle_gamma 90.00
_space_group_name_H-M_alt 'P 1 21/c 1'
_space_group_IT_number 14
loop_
_space_group_symop_operation_xyz
'x,y,z'
'-x,-y,-z'
'-x,y+1/2,-z+1/2'
'x,-y+1/2,z+1/2'
loop_
_atom_site_label
_atom_site_type_symbol
_atom_site_fract_x
_atom_site_fract_y
_atom_site_fract_z
_atom_site_occupancy
Pm1 Pm 0.1915 0.0108 0.4073 1
Pu1 Pu 0.3957 0.6245 0.2262 1
Mn1 Mn 0.1557 0.5030 0.6164 1
```

## Properties
magnetization	0.000	μB/f.u.
calculated total energy	-9.148	eV/atom
V	267	Å³ per cell
calculated formation energy	0.269	eV per atom
polymorph energy (0 for the lowest one)	110	meV/atom
N(E_F)	1.640	states/eV per atom